{
  "formula": "LiCoCu2P2",
  "functional": "GGA-PBE",
  "state": "optimized geometry",
  "cell": [[3.948, 0.000, 0.000], [-1.974, 3.419, 0.000], [0.000, 0.000, 5.220]],
  "species": ["Li", "Co", "Cu", "Cu", "P", "P"],
  "frac_coords": [[0.000, 0.000, 0.000], [0.000, 0.000, 0.500], [0.333, 0.667, 0.212], [0.667, 0.333, 0.788], [0.333, 0.667, 0.713], [0.667, 0.333, 0.287]],
  "space_group": "P-3m1 (164)",
  "total_magnetization_mub_per_fu": 0.00,
  "total_energy_ev_per_atom": -4.6674
}

=====

{
  "formula": "DyReAsO",
  "functional": "GGA-PBE",
  "state": "optimized geometry",
  "cell": [[3.952, 0.000, 0.000], [0.000, 3.952, 0.000], [0.000, 0.000, 8.517]],
  "species": ["Dy", "Dy", "Re", "Re", "As", "As", "O", "O"],
  "frac_coords": [[0.250, 0.250, 0.128], [0.750, 0.750, 0.872], [0.250, 0.750, 0.500], [0.750, 0.250, 0.500], [0.250, 0.250, 0.683], [0.750, 0.750, 0.317], [0.250, 0.750, 0.000], [0.750, 0.250, 0.000]],
  "space_group": "P4/nmm (129)",
  "total_magnetization_mub_per_fu": 0.01,
  "de_polymorph_mev_per_atom": 0
}